Entry from Alexandria: an optimized crystal structure of BaGe2P2 (GGA-PBE).

As for the total magnetic moment: 0.000 μB per formula unit. Its total energy is -0.1663 Ha/atom.

Cell lengths 7.8638, 7.8638, 4.3984 Å; angles 90.00, 90.00, 90.00 degrees
With the nearest neighbours (Å) after each atom.
Space group P4/mbm (No. 127)
Symmetry-distinct sites (fractional):
Ba: 0.0000 0.0000 0.0000 (multiplicity 2)  4 P 3.26
Ge: 0.1122 0.3878 0.5000 (multiplicity 4)  1 Ge 2.49, 4 P 2.75
P: 0.0978 0.5978 0.0000 (multiplicity 4)  1 P 2.18

Entry from Alexandria: an optimized crystal structure of BaGeP2 (GGA-PBE).

As for the total magnetic moment: 0.000 μB per formula unit. Its total energy is -0.1800 Ha/atom.

Cell lengths 7.2649, 7.2649, 8.0377 Å; angles 90.00, 90.00, 90.00 degrees
With the nearest neighbours (Å) after each atom.
Space group I-42d (No. 122)
Symmetry-distinct sites (fractional):
Ba: 0.0000 0.0000 0.0000 (multiplicity 4)  4 P 3.26
Ge: 0.0000 0.0000 0.5000 (multiplicity 4)  4 P 2.36
P: 0.1543 0.2500 0.6250 (multiplicity 8)  2 Ge 2.36

Entry from Alexandria: an optimized crystal structure of BaGe6P8 (GGA-PBE).

As for the total magnetic moment: 0.000 μB per formula unit. Its total energy is -0.1788 Ha/atom.

Cell lengths 10.2989, 10.2989, 10.7206 Å; angles 90.00, 90.00, 120.00 degrees
With the nearest neighbours (Å) after each atom.
Space group R-3 (No. 148, hexagonal axes)
Symmetry-distinct sites (fractional):
Ba: 0.0000 0.0000 0.0000 (multiplicity 3)  8 P 3.17-3.30
Ge: 0.0485 0.8018 0.6257 (multiplicity 18)  4 P 2.40-2.44
P: 0.0000 0.0000 0.3080 (multiplicity 6)  3 Ge 2.44
P: 0.0341 0.7384 0.1230 (multiplicity 18)  3 Ge 2.40-2.44